[1]
This record from Alexandria describes IrOs2 after structural relaxation. The functional is GGA-PBEsol.

Structure (POSCAR):
```
IrOs2
1.0
-0.331 3.445 -0.086
-2.554 -2.014 -1.186
-1.954 -0.080 4.343
Os Ir
2 1
Cartesian
-2.514 -0.223 0.740
-2.324 1.574 2.332
0.000 0.000 0.000
```

DFT formation energy ... 393 kJ/mol of formula units

***

[2]
This record from Alexandria describes Ir5Os after structural relaxation. The functional is GGA-PBEsol.

Structure (POSCAR):
```
Ir5Os
1.0
2.723 0.000 0.000
0.000 4.386 0.000
-1.361 0.000 7.088
Ir Os
5 1
Cartesian
0.000 2.193 3.185
1.361 2.193 0.761
0.000 0.000 0.002
1.361 0.000 2.349
0.000 0.000 4.728
1.361 2.193 5.515
```

DFT formation energy ... 31 kJ/mol of formula units

***

[3]
This record from Alexandria describes IrOs after structural relaxation. The functional is GGA-PBEsol.

Structure (POSCAR):
```
IrOs
1.0
-0.548 3.065 2.225
0.124 -2.233 3.106
3.990 0.099 -2.446
Os Ir
2 2
Cartesian
1.615 1.790 1.223
-0.212 0.416 2.666
1.951 -0.859 1.663
0.000 0.000 0.000
```

DFT formation energy ... 10 kJ/mol of formula units

***

[4]
This record from Alexandria describes IrOs after structural relaxation. The functional is GGA-PBEsol.

Structure (POSCAR):
```
IrOs
1.0
-3.077 2.363 -1.914
-3.163 -3.409 0.876
-1.189 2.336 4.796
Os Ir
4 4
Cartesian
-3.785 0.636 -0.463
-5.661 -0.489 1.163
-1.768 1.779 2.595
-3.645 0.653 4.221
-3.071 -0.527 1.841
-4.359 1.817 1.917
-1.188 0.586 0.188
-6.242 0.704 3.570
```

DFT formation energy ... 2 kJ/mol of formula units

***

[5]
This record from Alexandria describes IrOs2 after structural relaxation. The functional is GGA-PBEsol.

Structure (POSCAR):
```
IrOs2
1.0
2.699 0.000 0.000
0.000 4.303 0.000
0.000 -2.151 3.726
Os Ir
2 1
Cartesian
0.000 2.151 1.242
0.000 0.000 2.484
1.349 0.000 0.000
```

DFT formation energy ... 117 kJ/mol of formula units

***

[6]
This record from Alexandria describes Ir5Os after structural relaxation. The functional is GGA-PBEsol.

Structure (POSCAR):
```
Ir5Os
1.0
-1.888 -3.028 1.385
0.422 -1.796 -3.353
5.902 -0.740 1.139
Ir Os
5 1
Cartesian
2.396 -3.032 1.926
3.521 -2.403 -0.454
0.211 -0.898 -1.677
0.915 -3.162 -0.375
1.618 -0.736 0.598
-0.944 -1.514 0.692
```

DFT formation energy ... 3 kJ/mol of formula units

***

[7]
This record from Alexandria describes IrOs2 after structural relaxation. The functional is GGA-PBEsol.

Structure (POSCAR):
```
IrOs2
1.0
-1.647 3.353 2.189
2.263 -1.432 3.896
6.484 4.551 -2.093
Os Ir
8 4
Cartesian
3.835 5.075 1.536
1.051 1.354 0.858
1.112 -0.106 3.141
5.987 6.579 0.851
3.264 1.398 2.456
3.193 2.865 0.156
3.906 3.608 3.836
6.049 5.119 3.135
5.368 4.398 -0.556
1.731 2.075 4.549
5.411 2.918 1.743
1.688 3.555 2.249
```

DFT formation energy ... -2 kJ/mol of formula units

***

[8]
This record from Alexandria describes IrOs2 after structural relaxation. The functional is GGA-PBEsol.

Structure (POSCAR):
```
IrOs2
1.0
-0.356 2.670 0.413
-0.999 -0.756 -4.962
-5.630 -1.190 2.837
Os Ir
4 2
Cartesian
-1.435 1.394 -1.262
-5.550 -0.671 -0.450
-3.492 0.868 0.366
-3.493 -0.145 -2.078
-2.391 1.649 -3.734
-4.594 -0.926 2.022
```

DFT formation energy ... 0 kJ/mol of formula units

***

[9]
This record from Alexandria describes Ir8Os after structural relaxation. The functional is GGA-PBEsol.

Structure (POSCAR):
```
Ir8Os
1.0
-1.617 3.458 0.276
-3.263 0.185 5.098
3.783 3.647 3.008
Ir Os
8 1
Cartesian
-0.908 3.582 2.873
-0.926 1.333 4.405
1.447 2.499 3.701
1.468 4.747 2.205
-3.266 2.421 3.609
0.698 2.358 1.080
-1.614 1.223 1.765
-0.189 3.708 5.509
0.000 0.000 0.000
```

DFT formation energy ... -4 kJ/mol of formula units

***

[10]
This record from Alexandria describes Ir2Os after structural relaxation. The functional is GGA-PBEsol.

Structure (POSCAR):
```
Ir2Os
1.0
-2.647 -2.225 1.629
1.767 -4.219 -2.892
5.239 -1.880 5.944
Ir Os
8 4
Cartesian
1.740 -6.139 1.168
0.846 -1.546 1.506
2.620 -2.185 3.514
3.513 -6.778 3.175
-0.885 -3.405 0.638
5.244 -4.919 4.043
2.584 -4.653 4.570
1.775 -3.671 0.112
3.469 -4.266 2.051
-0.019 -5.524 -0.850
0.891 -4.058 2.630
4.379 -2.800 5.532
```

DFT formation energy ... 3 kJ/mol of formula units

***

[11]
This record from Alexandria describes IrOs after structural relaxation. The functional is GGA-PBEsol.

Structure (POSCAR):
```
IrOs
1.0
-1.488 0.399 -2.257
-1.219 -0.766 2.322
-1.078 8.350 2.186
Ir Os
2 2
Cartesian
-1.538 1.097 -0.446
-2.246 6.886 2.698
-1.717 2.787 1.624
-2.068 5.196 0.627
```

DFT formation energy ... -1 kJ/mol of formula units

***

[12]
This record from Alexandria describes Ir5Os4 after structural relaxation. The functional is GGA-PBEsol.

Structure (POSCAR):
```
Ir5Os4
1.0
3.824 0.000 0.000
1.912 5.745 0.000
1.912 0.000 5.745
Ir Os
5 4
Cartesian
3.824 3.814 0.000
1.912 1.932 0.000
1.912 0.000 1.932
3.824 0.000 3.814
0.000 0.000 0.000
3.824 3.803 3.803
1.912 1.942 3.803
3.824 1.942 1.942
1.912 3.803 1.942
```

DFT formation energy ... 13 kJ/mol of formula units

***

[13]
This record from Alexandria describes PIrOs2 after structural relaxation. The functional is GGA-PBEsol.

Structure (POSCAR):
```
PIrOs2
1.0
-1.523 -1.697 1.572
0.654 -0.379 2.664
-5.084 5.517 3.471
P Os Ir
1 2 1
Cartesian
-2.992 1.741 3.860
-5.065 5.492 3.463
-4.354 2.437 5.732
-1.603 1.009 1.976
```

DFT formation energy ... 8 kJ/mol of formula units

***

[14]
This record from Alexandria describes P2IrOs after structural relaxation. The functional is GGA-PBEsol.

Structure (POSCAR):
```
P2IrOs
1.0
2.881 0.000 0.000
1.440 2.495 0.000
1.440 0.832 7.345
Os Ir P
1 1 2
Cartesian
0.000 0.000 0.000
2.881 1.663 3.673
1.440 0.832 1.804
4.321 2.495 5.541
```

DFT formation energy ... -50 kJ/mol of formula units

***

[15]
This record from Alexandria describes P2IrOs after structural relaxation. The functional is GGA-PBEsol.

Structure (POSCAR):
```
P2IrOs
1.0
-1.255 -1.602 -1.955
1.828 -2.082 0.533
-4.672 -2.757 5.257
Ir P Os
1 2 1
Cartesian
-2.286 -1.349 2.572
-1.133 -2.680 0.887
-4.402 -2.598 4.954
-3.285 -3.950 3.309
```

DFT formation energy ... -8 kJ/mol of formula units

***

[16]
This record from Alexandria describes P2IrOs after structural relaxation. The functional is GGA-PBEsol.

Structure (POSCAR):
```
P2IrOs
1.0
-0.361 -0.306 -3.789
-3.295 -2.029 0.478
-1.954 3.483 -0.095
Ir Os P
1 1 2
Cartesian
-2.805 0.574 -1.703
-0.180 -0.153 -1.895
-4.038 0.754 0.324
-1.211 0.700 0.059
```

DFT formation energy ... 41 kJ/mol of formula units

***

[17]
This record from Alexandria describes P2IrOs after structural relaxation. The functional is GGA-PBEsol.

Structure (POSCAR):
```
P2IrOs
1.0
4.173 0.012 0.018
-2.039 3.641 -0.018
-2.039 -1.259 3.416
P Ir Os
2 1 1
Cartesian
0.048 -0.028 2.567
0.048 2.422 0.850
0.000 0.000 0.000
-2.039 1.191 1.699
```

DFT formation energy ... 50 kJ/mol of formula units

***

[18]
This record from Alexandria describes PIrOs2 after structural relaxation. The functional is GGA-PBEsol.

Structure (POSCAR):
```
PIrOs2
1.0
-1.763 1.841 1.138
-3.437 -2.410 -1.427
0.041 -2.302 3.789
Os P Ir
2 1 1
Cartesian
0.021 -1.151 1.894
-1.719 -1.205 -0.713
-2.580 -1.435 1.750
-0.882 0.921 0.569
```

DFT formation energy ... 158 kJ/mol of formula units

***

[19]
This record from Alexandria describes PIrOs2 after structural relaxation. The functional is GGA-PBEsol.

Structure (POSCAR):
```
PIrOs2
1.0
2.831 0.000 0.002
0.000 3.839 0.000
-1.317 0.000 5.002
P Os Ir
1 2 1
Cartesian
1.415 1.919 0.001
-0.620 0.000 3.830
2.134 0.000 1.174
0.757 1.919 2.502
```

DFT formation energy ... 28 kJ/mol of formula units

***

[20]
This record from Alexandria describes IrOs2Pb2 after structural relaxation. The functional is GGA-PBEsol.

Structure (POSCAR):
```
IrOs2Pb2
1.0
-3.224 1.890 -1.432
-1.772 -3.527 -0.665
0.061 0.970 6.735
Os Pb Ir
2 2 1
Cartesian
-1.982 0.123 4.624
-2.953 -0.790 0.013
-2.105 -1.688 2.511
-2.831 1.021 2.127
0.000 0.000 0.000
```

DFT formation energy ... 766 kJ/mol of formula units

***

[21]
This record from Alexandria describes IrOsPb2 after structural relaxation. The functional is GGA-PBEsol.

Structure (POSCAR):
```
IrOsPb2
1.0
2.969 0.000 0.000
-1.484 4.195 0.010
0.000 -0.739 7.132
Ir Pb Os
1 2 1
Cartesian
1.484 -0.337 4.007
1.484 3.350 6.662
1.484 1.987 2.284
0.000 1.543 4.898
```

DFT formation energy ... 221 kJ/mol of formula units

***

[22]
This record from Alexandria describes Ir2OsPb after structural relaxation. The functional is GGA-PBEsol.

Structure (POSCAR):
```
Ir2OsPb
1.0
-2.637 1.057 0.037
-0.769 -1.776 -4.056
-1.677 -4.266 2.186
Pb Os Ir
1 1 2
Cartesian
-2.693 -3.849 -0.294
-1.705 -1.423 0.947
-3.963 -3.288 2.191
-3.194 -1.238 -1.342
```

DFT formation energy ... 225 kJ/mol of formula units

***

[23]
This record from Alexandria describes IrOsPb2 after structural relaxation. The functional is GGA-PBEsol.

Structure (POSCAR):
```
IrOsPb2
1.0
4.707 0.000 0.000
2.354 4.077 0.000
2.354 1.359 3.844
Os Pb Ir
1 2 1
Cartesian
4.707 2.718 1.922
2.354 1.359 0.961
7.061 4.077 2.883
0.000 0.000 0.000
```

DFT formation energy ... 336 kJ/mol of formula units

***

[24]
This record from Alexandria describes IrOsPbSe2 after structural relaxation. The functional is GGA-PBEsol.

Structure (POSCAR):
```
IrOsPbSe2
1.0
4.746 0.000 0.000
0.000 4.896 0.000
0.000 0.000 4.896
Se Ir Pb Os
2 1 1 1
Cartesian
0.000 2.448 0.000
0.000 0.000 2.448
0.000 0.000 0.000
2.373 2.448 2.448
2.373 0.000 0.000
```

VASP energy ... -5.7544 eV/atom

***

[25]
This record from Alexandria describes TlIrOsPb2 after structural relaxation. The functional is GGA-PBEsol.

Structure (POSCAR):
```
TlIrOsPb2
1.0
-5.000 0.563 -0.846
0.824 -0.279 -5.050
-0.603 -5.086 0.182
Pb Ir Os Tl
2 1 1 1
Cartesian
-0.302 -2.543 0.091
0.412 -0.139 -2.525
0.000 0.000 0.000
-2.390 -2.401 -2.857
-2.500 0.281 -0.423
```

DFT formation energy ... 690 kJ/mol of formula units

***

[26]
This record from Alexandria describes Ir2OsPdRu after structural relaxation. The functional is GGA-PBEsol.

Structure (POSCAR):
```
Ir2OsPdRu
1.0
4.564 0.000 0.000
0.000 4.653 0.000
0.000 0.000 4.653
Ir Os Pd Ru
2 1 1 1
Cartesian
0.000 2.326 0.000
0.000 0.000 2.326
0.000 0.000 0.000
2.282 2.326 2.326
2.282 0.000 0.000
```

DFT formation energy ... 979 kJ/mol of formula units

***

[27]
This record from Alexandria describes Sb2IrOsPd after structural relaxation. The functional is GGA-PBEsol.

Structure (POSCAR):
```
Sb2IrOsPd
1.0
4.731 0.000 0.000
0.000 4.979 0.000
0.000 0.000 4.979
Pd Sb Ir Os
1 2 1 1
Cartesian
2.366 2.490 2.490
0.000 0.000 2.490
0.000 2.490 0.000
2.366 0.000 0.000
0.000 0.000 0.000
```

VASP energy ... -6.1686 eV/atom

***

[28]
This record from Alexandria describes IrOs2PdSe after structural relaxation. The functional is GGA-PBEsol.

Structure (POSCAR):
```
IrOs2PdSe
1.0
4.437 0.000 0.000
0.000 4.437 0.000
0.000 0.000 4.452
Os Pd Se Ir
2 1 1 1
Cartesian
2.219 0.000 0.000
0.000 2.219 0.000
0.000 0.000 2.226
0.000 0.000 0.000
2.219 2.219 2.226
```

VASP energy ... -7.0372 eV/atom